This record from the Alexandria database describes crystalline OsSN2O at its relaxed geometry. The functional is GGA-PBEsol.

Results
**DFT total energy**: -30.7 eV/cell

Unit cell a=3.434 b=3.614 c=3.614 alpha=90.00 beta=90.00 gamma=90.00
Fractional coordinates of all 5 atoms:
S: 0.000 0.000 0.000
Os: 0.500 0.500 0.500
O: 0.500 0.000 0.000
N: 0.000 0.000 0.500
N: 0.000 0.500 0.000